# 1
Entry from the Alexandria database: a relaxed Zn2SiS crystal (PBE).

Values from the calculation:
- relative energy among the computed polymorphs (eV/f.u.) = 0.00
- crystal system = tetragonal
- ΔE_f (raw) (eV per atom) = 0.02

Geometry as POSCAR:
```
Zn2SiS
1.0
-2.9081 2.9081 4.9958
2.9081 -2.9081 4.9958
2.9081 2.9081 -4.9958
Zn Si S
4 2 2
Direct
0.1116 0.6250 0.9866
0.3750 0.3616 0.4866
0.6384 0.1250 0.0134
0.8750 0.8884 0.5134
0.2500 0.7500 0.5000
0.5000 0.5000 0.0000
0.0000 0.0000 0.0000
0.7500 0.2500 0.5000
```

=====

# 2
Entry from the Alexandria database: a relaxed ZnSiS crystal (PBE).

Values from the calculation:
- crystal system = orthorhombic
- ΔE_f (raw) (eV per atom) = 0.08

Geometry as POSCAR:
```
ZnSiS
1.0
10.0411 0.0000 0.0000
0.0000 1.7174 2.9223
0.0000 -1.7174 2.9223
Zn Si S
2 2 2
Direct
0.1756 0.0000 0.0000
0.8244 0.0000 0.0000
0.0000 0.3355 0.3355
0.5000 0.3310 0.3310
0.3379 0.6593 0.6593
0.6621 0.6593 0.6593
```

=====

# 3
Entry from the Alexandria database: a relaxed Zn3SiS crystal (PBE).

Values from the calculation:
- relative energy among the computed polymorphs (eV/f.u.) = 0.00
- crystal system = cubic
- ΔE_f (raw) (eV per atom) = 0.33

Geometry as POSCAR:
```
Zn3SiS
1.0
4.6729 0.0000 0.0000
0.0000 4.6729 0.0000
0.0000 0.0000 4.6729
Zn Si S
3 1 1
Direct
0.0000 0.0000 0.5000
0.0000 0.5000 0.0000
0.5000 0.0000 0.0000
0.0000 0.0000 0.0000
0.5000 0.5000 0.5000
```

=====

# 4
Entry from the Alexandria database: a relaxed ZnSiS3 crystal (PBE).

Values from the calculation:
- relative energy among the computed polymorphs (eV/f.u.) = 4.27
- crystal system = cubic
- ΔE_f (raw) (eV per atom) = 0.25

Geometry as POSCAR:
```
ZnSiS3
1.0
4.5134 0.0000 0.0000
0.0000 4.5134 0.0000
0.0000 0.0000 4.5134
Zn Si S
1 1 3
Direct
0.0000 0.0000 0.0000
0.5000 0.5000 0.5000
0.0000 0.5000 0.5000
0.5000 0.0000 0.5000
0.5000 0.5000 0.0000
```

=====

# 5
Entry from the Alexandria database: a relaxed ZnSiS3 crystal (PBE).

Values from the calculation:
- relative energy among the computed polymorphs (eV/f.u.) = 0.00
- crystal system = monoclinic
- ΔE_f (raw) (eV per atom) = -0.60

Geometry as POSCAR:
```
ZnSiS3
1.0
6.1463 -1.7469 0.0000
6.1463 1.7469 0.0000
-0.6861 0.0000 10.5587
Zn Si S
2 2 6
Direct
0.1491 0.1491 0.3983
0.8509 0.8509 0.6017
0.4186 0.4186 0.2421
0.5814 0.5814 0.7579
0.1377 0.1377 0.8684
0.3459 0.3459 0.4219
0.4082 0.4082 0.7426
0.5918 0.5918 0.2574
0.6541 0.6541 0.5781
0.8623 0.8623 0.1316
```

=====

# 6
Entry from the Alexandria database: a relaxed Zn2SiS crystal (PBE).

Values from the calculation:
- relative energy among the computed polymorphs (eV/f.u.) = 1.82
- crystal system = cubic
- ΔE_f (raw) (eV per atom) = 0.48

Geometry as POSCAR:
```
Zn2SiS
1.0
0.0000 3.2065 3.2065
3.2065 0.0000 3.2065
3.2065 3.2065 0.0000
Zn Si S
2 1 1
Direct
0.2500 0.2500 0.2500
0.7500 0.7500 0.7500
0.0000 0.0000 0.0000
0.5000 0.5000 0.5000
```

=====

# 7
Entry from the Alexandria database: a relaxed Zr3SiS3 crystal (PBE).

Values from the calculation:
- crystal system = cubic
- ΔE_f (raw) (eV per atom) = -1.34

Geometry as POSCAR:
```
Zr3SiS3
1.0
-5.2563 5.2563 5.2563
5.2563 -5.2563 5.2563
5.2563 5.2563 -5.2563
Zr Si S
12 4 12
Direct
0.9996 0.5004 0.7500
0.9996 0.9992 0.2496
0.2496 0.9996 0.9992
0.2504 0.2496 0.7500
0.2504 0.5008 0.5004
0.2496 0.7500 0.2504
0.5004 0.2504 0.5008
0.5004 0.7500 0.9996
0.5008 0.5004 0.2504
0.7500 0.9996 0.5004
0.7500 0.2504 0.2496
0.9992 0.2496 0.9996
0.0000 0.2500 0.5000
0.2500 0.2500 0.2500
0.2500 0.5000 0.0000
0.5000 0.0000 0.2500
0.2500 0.7522 0.7478
0.2500 0.9978 0.5022
0.5022 0.2500 0.9978
0.5022 0.7522 0.5043
0.5043 0.5022 0.7522
0.7478 0.2500 0.7522
0.7478 0.9978 0.9957
0.7522 0.5043 0.5022
0.7522 0.7478 0.2500
0.9957 0.7478 0.9978
0.9978 0.5022 0.2500
0.9978 0.9957 0.7478
```

=====

# 8
Entry from the Alexandria database: a relaxed Zr2Si2S crystal (PBE).

Values from the calculation:
- crystal system = tetragonal
- ΔE_f (raw) (eV per atom) = -0.80

Geometry as POSCAR:
```
Zr2Si2S
1.0
7.0415 0.0000 0.0000
0.0000 7.0415 0.0000
0.0000 0.0000 3.7860
Zr Si S
4 4 2
Direct
0.1806 0.3194 0.0000
0.3194 0.8194 0.0000
0.6806 0.1806 0.0000
0.8194 0.6806 0.0000
0.1162 0.6162 0.5000
0.3838 0.1162 0.5000
0.6162 0.8838 0.5000
0.8838 0.3838 0.5000
0.0000 0.0000 0.0000
0.5000 0.5000 0.0000
```

=====

# 9
Entry from the Alexandria database: a relaxed ZrSi2S8 crystal (PBE).

Values from the calculation:
- crystal system = monoclinic
- ΔE_f (raw) (eV per atom) = -0.47

Geometry as POSCAR:
```
ZrSi2S8
1.0
7.6614 -3.7654 0.0000
7.6614 3.7654 0.0000
-2.1386 0.0000 6.1836
Zr Si S
1 2 8
Direct
0.0000 0.0000 0.0000
0.1393 0.1393 0.7575
0.8607 0.8607 0.2425
0.1073 0.1073 0.4084
0.1266 0.6710 0.1129
0.2478 0.2478 0.6183
0.3290 0.8734 0.8871
0.6710 0.1266 0.1129
0.7522 0.7522 0.3817
0.8734 0.3290 0.8871
0.8927 0.8927 0.5916
```

=====

# 10
Entry from the Alexandria database: a relaxed ZrSi2S6 crystal (PBE).

Values from the calculation:
- crystal system = monoclinic
- ΔE_f (raw) (eV per atom) = -0.82

Geometry as POSCAR:
```
ZrSi2S6
1.0
6.0265 -5.5822 0.0000
6.0265 5.5822 0.0000
-1.3440 0.0000 6.1339
Zr Si S
2 4 12
Direct
0.1279 0.8721 0.7500
0.8721 0.1279 0.2500
0.2236 0.3726 0.6879
0.3726 0.2236 0.1879
0.6274 0.7764 0.8121
0.7764 0.6274 0.3121
0.0449 0.1842 0.6316
0.1211 0.5959 0.8485
0.1842 0.0449 0.1316
0.2940 0.4386 0.3983
0.4041 0.8789 0.6515
0.4386 0.2940 0.8983
0.5614 0.7060 0.1017
0.5959 0.1211 0.3485
0.7060 0.5614 0.6017
0.8158 0.9551 0.8684
0.8789 0.4041 0.1515
0.9551 0.8158 0.3684
```

=====

# 11
Entry from the Alexandria database: a relaxed ZrSi2S crystal (PBE).

Values from the calculation:
- crystal system = tetragonal
- ΔE_f (raw) (eV per atom) = 0.00

Geometry as POSCAR:
```
ZrSi2S
1.0
-3.6301 3.6301 2.6168
3.6301 -3.6301 2.6168
3.6301 3.6301 -2.6168
Zr Si S
2 4 2
Direct
0.0000 0.0000 0.0000
0.7500 0.2500 0.5000
0.1508 0.6250 0.0258
0.3750 0.4008 0.5258
0.5992 0.1250 0.9742
0.8750 0.8492 0.4742
0.2500 0.7500 0.5000
0.5000 0.5000 0.0000
```

=====

# 12
Entry from the Alexandria database: a relaxed ZrSiS crystal (PBE).

Values from the calculation:
- crystal system = tetragonal
- ΔE_f (raw) (eV per atom) = -1.20

Geometry as POSCAR:
```
ZrSiS
1.0
3.5620 0.0000 0.0000
0.0000 3.5620 0.0000
0.0000 0.0000 8.1385
Zr Si S
2 2 2
Direct
0.2500 0.2500 0.2311
0.7500 0.7500 0.7689
0.2500 0.7500 0.5000
0.7500 0.2500 0.5000
0.2500 0.2500 0.8787
0.7500 0.7500 0.1213
```

=====

# 13
Entry from the Alexandria database: a relaxed Sm2S3 crystal (PBE).

Values from the calculation:
- crystal system = tetragonal
- ΔE_f (raw) (eV per atom) = -2.05

Geometry as POSCAR:
```
Sm2S3
1.0
-4.2479 4.2479 12.7030
4.2479 -4.2479 12.7030
4.2479 4.2479 -12.7030
Sm S
16 24
Direct
0.0480 0.1504 0.6206
0.1652 0.1652 0.0000
0.1774 0.7798 0.8794
0.2202 0.0996 0.3976
0.2555 0.6250 0.1305
0.3750 0.5055 0.6305
0.4945 0.1250 0.8695
0.5298 0.4274 0.3794
0.5726 0.9520 0.1024
0.5848 0.0848 0.5000
0.7020 0.8226 0.6024
0.8348 0.8348 0.0000
0.8496 0.4702 0.8976
0.8750 0.7445 0.3695
0.9004 0.2980 0.1206
0.9152 0.4152 0.5000
0.0033 0.7562 0.8926
0.0722 0.4629 0.2456
0.1735 0.9278 0.3908
0.1864 0.4374 0.0909
0.1874 0.4364 0.5909
0.2129 0.3222 0.7456
0.2173 0.8265 0.7544
0.2438 0.1364 0.2471
0.3465 0.0955 0.9091
0.4035 0.8126 0.2491
0.5062 0.2533 0.3926
0.5327 0.7871 0.1092
0.5371 0.7827 0.6092
0.5626 0.6535 0.7491
0.5636 0.1545 0.7509
0.5765 0.4673 0.2544
0.6778 0.4235 0.8908
0.7467 0.1393 0.2529
0.8455 0.5965 0.4091
0.8607 0.1136 0.6074
0.8636 0.1107 0.1074
0.8864 0.4938 0.7471
0.8893 0.9967 0.7529
0.9045 0.8136 0.2509
```

=====

# 14
Entry from the Alexandria database: a relaxed Sm4S5 crystal (PBE).

Values from the calculation:
- crystal system = tetragonal
- ΔE_f (raw) (eV per atom) = -1.30

Geometry as POSCAR:
```
Sm4S5
1.0
-6.2133 6.2133 1.7852
6.2133 -6.2133 1.7852
6.2133 6.2133 -1.7852
Sm S
4 5
Direct
0.1413 0.1413 0.2826
0.1413 0.8587 0.0000
0.8587 0.1413 0.0000
0.8587 0.8587 0.7174
0.2462 0.5000 0.7462
0.5000 0.2462 0.7462
0.5000 0.5000 0.0000
0.5000 0.7538 0.2538
0.7538 0.5000 0.2538
```

=====

# 15
Entry from the Alexandria database: a relaxed Sm2S3 crystal (PBE).

Values from the calculation:
- crystal system = orthorhombic
- ΔE_f (raw) (eV per atom) = -2.07

Geometry as POSCAR:
```
Sm2S3
1.0
7.4380 0.0000 0.0000
0.0000 3.9962 0.0000
0.0000 0.0000 15.4993
Sm S
8 12
Direct
0.1432 0.2500 0.2046
0.2348 0.7500 0.4566
0.2652 0.2500 0.9566
0.3568 0.7500 0.7046
0.6432 0.2500 0.2954
0.7348 0.7500 0.0434
0.7652 0.2500 0.5434
0.8568 0.7500 0.7954
0.0096 0.2500 0.3913
0.1249 0.7500 0.0676
0.1474 0.2500 0.7814
0.3526 0.7500 0.2814
0.3751 0.2500 0.5676
0.4904 0.7500 0.8913
0.5096 0.2500 0.1087
0.6249 0.7500 0.4324
0.6474 0.2500 0.7186
0.8526 0.7500 0.2186
0.8751 0.2500 0.9324
0.9904 0.7500 0.6087
```

=====

# 16
Entry from the Alexandria database: a relaxed Sm2S3 crystal (PBE).

Values from the calculation:
- crystal system = orthorhombic
- ΔE_f (raw) (eV per atom) = -2.07

Geometry as POSCAR:
```
Sm2S3
1.0
10.9034 0.0000 0.0000
0.0000 3.9788 0.0000
0.0000 0.0000 10.6301
Sm S
8 12
Direct
0.0093 0.2500 0.1864
0.1920 0.2500 0.5044
0.3080 0.7500 0.0044
0.4907 0.7500 0.6864
0.5093 0.2500 0.3136
0.6920 0.2500 0.9956
0.8080 0.7500 0.4956
0.9907 0.7500 0.8136
0.0458 0.7500 0.3735
0.1204 0.2500 0.9445
0.2289 0.7500 0.6982
0.2711 0.2500 0.1982
0.3796 0.7500 0.4445
0.4542 0.2500 0.8735
0.5458 0.7500 0.1265
0.6204 0.2500 0.5555
0.7289 0.7500 0.8018
0.7711 0.2500 0.3018
0.8796 0.7500 0.0555
0.9542 0.2500 0.6265
```

=====

# 17
Entry from the Alexandria database: a relaxed Sm2SnS4 crystal (PBE).

Values from the calculation:
- relative energy among the computed polymorphs (eV/f.u.) = 0.71
- crystal system = monoclinic
- ΔE_f (raw) (eV per atom) = -1.43

Geometry as POSCAR:
```
Sm2SnS4
1.0
7.4333 0.0000 0.0000
0.0000 7.0922 0.0000
-1.9882 0.0000 8.4751
Sm Sn S
4 2 8
Direct
0.0350 0.2500 0.1295
0.4655 0.7500 0.8675
0.5345 0.2500 0.1325
0.9650 0.7500 0.8705
0.1688 0.2500 0.5798
0.8312 0.7500 0.4202
0.1438 0.7500 0.6173
0.2498 0.0046 0.9899
0.2498 0.4954 0.9899
0.3470 0.2500 0.3698
0.6530 0.7500 0.6302
0.7502 0.5046 0.0101
0.7502 0.9954 0.0101
0.8562 0.2500 0.3827
```

=====

# 18
Entry from the Alexandria database: a relaxed Sm8SnS6 crystal (PBE).

Values from the calculation:
- crystal system = trigonal
- ΔE_f (raw) (eV per atom) = -1.58

Geometry as POSCAR:
```
Sm8SnS6
1.0
10.4546 0.0000 0.0000
-5.2273 9.0540 0.0000
0.0000 0.0000 4.0426
Sm Sn S
8 1 6
Direct
0.0345 0.3367 0.2477
0.3022 0.9655 0.2477
0.3333 0.6667 0.7510
0.3367 0.3022 0.7523
0.6633 0.6978 0.2477
0.6667 0.3333 0.2490
0.6978 0.0345 0.7523
0.9655 0.6633 0.7523
0.0000 0.0000 0.0000
0.1367 0.6537 0.2502
0.3463 0.4830 0.2502
0.4830 0.1367 0.7498
0.5170 0.8633 0.2502
0.6537 0.5170 0.7498
0.8633 0.3463 0.7498
```

=====

# 19
Entry from the Alexandria database: a relaxed SmSn3S6 crystal (PBE).

Values from the calculation:
- crystal system = monoclinic
- ΔE_f (raw) (eV per atom) = -0.76

Geometry as POSCAR:
```
SmSn3S6
1.0
11.4204 0.0000 0.0000
0.0000 3.8984 0.0000
-5.5886 0.0000 11.1311
Sm Sn S
2 6 12
Direct
0.2208 0.2500 0.0669
0.7792 0.7500 0.9331
0.0472 0.7500 0.2597
0.3574 0.2500 0.4920
0.3747 0.7500 0.8455
0.6253 0.2500 0.1545
0.6426 0.7500 0.5080
0.9528 0.2500 0.7403
0.0237 0.7500 0.9121
0.0967 0.2500 0.4115
0.2086 0.2500 0.8195
0.2603 0.7500 0.2473
0.3939 0.7500 0.6425
0.4136 0.7500 0.0732
0.5864 0.2500 0.9268
0.6061 0.2500 0.3575
0.7397 0.2500 0.7527
0.7914 0.7500 0.1805
0.9033 0.7500 0.5885
0.9763 0.2500 0.0879
```